The following is a DFT calculation (PBE+U) of a relaxed TaWO2 crystal.

a = 3.996 Å, b = 3.996 Å, c = 12.870 Å
α = 90.00°, β = 90.00°, γ = 90.00°
Space group I-42d (No. 122)
One atom of each set of equivalent atoms:
Ta1 0.000 0.000 0.000 [4 per cell]
W1 0.000 0.000 0.500 [4 per cell]
O1 0.249 0.250 0.625 [8 per cell]

Properties
For the electronic total energy, the calculation gives -8.12 eV/atom. The density is 12825 kg/m³.